# 1
A relaxed LiHg crystal, computed with PBEsol.

- ΔE_f (eV per atom) = -0.361
- space group = Cm, No. 8

```
LiHg
1.0
5.024 -1.625 0.000
5.024 1.625 0.000
-2.377 0.000 6.613
Li Hg
3 3
Direct
0.000 0.000 0.000
0.048 0.048 0.571
0.701 0.701 0.336
0.349 0.349 0.666
0.405 0.405 0.249
0.690 0.690 0.906
```


# 2
A relaxed Li8Hg crystal, computed with PBEsol.

- ΔE_f (eV per atom) = -0.137
- space group = I4/mmm, No. 139

```
Li8Hg
1.0
-4.378 4.378 2.154
4.378 -4.378 2.154
4.378 4.378 -2.154
Li Hg
8 1
Direct
0.000 0.325 0.325
0.000 0.675 0.675
0.325 0.000 0.325
0.342 0.342 0.683
0.342 0.658 0.000
0.658 0.342 0.000
0.658 0.658 0.317
0.675 0.000 0.675
0.000 0.000 0.000
```


# 3
A relaxed LiHg2 crystal, computed with PBEsol.

- ΔE_f (eV per atom) = -0.228
- space group = P4/mmm, No. 123

```
LiHg2
1.0
4.549 0.000 0.000
0.000 4.549 0.000
0.000 0.000 3.087
Li Hg
1 2
Direct
0.000 0.000 0.000
0.000 0.500 0.500
0.500 0.000 0.500
```


# 4
A relaxed Li4Hg3 crystal, computed with PBEsol.

- ΔE_f (eV per atom) = -0.334
- space group = I4/mmm, No. 139

```
Li4Hg3
1.0
-1.722 1.722 10.524
1.722 -1.722 10.524
1.722 1.722 -10.524
Li Hg
4 3
Direct
0.068 0.068 0.000
0.356 0.356 0.000
0.644 0.644 0.000
0.932 0.932 0.000
0.203 0.203 0.000
0.500 0.500 0.000
0.797 0.797 0.000
```


# 5
A relaxed LiHg3 crystal, computed with PBEsol.

- ΔE_f (eV per atom) = -0.235
- space group = Pm-3m, No. 221

```
LiHg3
1.0
4.361 0.000 0.000
0.000 4.361 0.000
0.000 0.000 4.361
Li Hg
1 3
Direct
0.000 0.000 0.000
0.000 0.500 0.500
0.500 0.000 0.500
0.500 0.500 0.000
```


# 6
A relaxed Li2Hg3 crystal, computed with PBEsol.

- ΔE_f (eV per atom) = -0.273
- space group = Fdd2, No. 43

```
Li2Hg3
1.0
0.000 13.425 1.582
4.707 0.000 1.582
4.707 13.425 0.000
Li Hg
4 6
Direct
0.022 0.478 0.082
0.168 0.832 0.228
0.478 0.022 0.418
0.832 0.168 0.772
0.126 0.816 0.567
0.239 0.239 0.761
0.489 0.489 0.011
0.683 0.759 0.124
0.759 0.683 0.434
0.816 0.126 0.491
```


# 7
A relaxed LiHg crystal, computed with PBEsol.

- ΔE_f (eV per atom) = -0.392
- space group = Imma, No. 74

```
LiHg
1.0
-2.014 2.097 4.229
2.014 -2.097 4.229
2.014 2.097 -4.229
Li Hg
2 2
Direct
0.376 0.126 0.250
0.624 0.874 0.750
0.127 0.377 0.750
0.873 0.623 0.250
```


# 8
A relaxed LiHg3 crystal, computed with PBEsol.

- ΔE_f (eV per atom) = -0.162
- space group = Cmcm, No. 63

```
LiHg3
1.0
4.153 -4.181 0.000
4.153 4.181 0.000
0.000 0.000 5.111
Li Hg
2 6
Direct
0.107 0.893 0.750
0.893 0.107 0.250
0.016 0.636 0.250
0.364 0.984 0.250
0.433 0.567 0.750
0.567 0.433 0.250
0.636 0.016 0.750
0.984 0.364 0.750
```


# 9
A relaxed Li5Hg crystal, computed with PBEsol.

- ΔE_f (eV per atom) = -0.208
- space group = C2/m, No. 12

```
Li5Hg
1.0
4.518 -2.122 0.000
4.518 2.122 0.000
-1.716 0.000 5.469
Li Hg
5 1
Direct
0.000 0.000 0.000
0.331 0.331 0.655
0.342 0.342 0.185
0.658 0.658 0.815
0.669 0.669 0.345
0.000 0.000 0.500
```


# 10
A relaxed LiHg3 crystal, computed with PBEsol.

- ΔE_f (eV per atom) = -0.208
- space group = Pmm2, No. 25

```
LiHg3
1.0
3.428 0.000 0.000
0.000 4.666 0.000
0.000 0.000 5.275
Li Hg
1 3
Direct
0.000 0.000 0.000
0.000 0.500 0.667
0.500 0.000 0.482
0.500 0.500 0.136
```


# 11
A relaxed LiMgHg2 crystal, computed with PBEsol.

- ΔE_f (eV per atom) = -0.300
- space group = Pmm2, No. 25

```
LiMgHg2
1.0
3.501 0.000 0.000
0.000 3.834 0.000
0.000 0.000 5.858
Li Mg Hg
1 1 2
Direct
0.000 0.000 0.000
0.500 0.500 0.292
0.000 0.000 0.505
0.500 0.500 0.808
```


# 12
A relaxed LiMgHg2 crystal, computed with PBEsol.

- ΔE_f (eV per atom) = -0.374
- space group = P4/mmm, No. 123

```
LiMgHg2
1.0
3.275 0.000 0.000
0.000 3.275 0.000
0.000 0.000 6.986
Li Mg Hg
1 1 2
Direct
0.000 0.000 0.000
0.000 0.000 0.500
0.500 0.500 0.228
0.500 0.500 0.772
```